The following is a DFT calculation (PBE) of Sc2TcMo after structural relaxation.

The space group is Pm (No. 6) and the conventional cell measures 3.063, 4.365 and 5.610 Å, with angles of 90.00, 103.12 and 90.00 degrees. Symmetry generates all atoms from Sc at (0.000, 0.000, 0.000), Sc at (0.273, 0.500, 0.706), Tc at (0.745, 0.500, 0.251) and Mo at (0.564, 0.000, 0.449).

The total energy comes out at -8.458 eV/atom. The formation energy comes out at 0.01 eV per atom.


The following is a DFT calculation (PBE) of RbTaCd after structural relaxation.

The space group is Ima2 (No. 46) and the conventional cell measures 4.638, 8.826 and 9.110 Å, with angles of 90.00, 90.00 and 90.00 degrees. Symmetry generates all atoms from Rb at (0.250, 0.154, 0.000), Ta at (0.250, 0.563, 0.866) and Cd at (0.250, 0.635, 0.180).

The total energy comes out at -3.628 eV/atom. The formation energy comes out at 0.95 eV per atom.


The following is a DFT calculation (PBE) of La2YCu after structural relaxation.

The space group is Pnma (No. 62) and the conventional cell measures 7.147, 10.256 and 6.582 Å, with angles of 90.00, 90.00 and 90.00 degrees. Symmetry generates all atoms from La at (0.196, 0.060, 0.175), Y at (0.030, 0.250, 0.649) and Cu at (0.103, 0.750, 0.942).

The total energy comes out at -5.172 eV/atom. The formation energy comes out at -0.07 eV per atom.